First-principles (GGA-PBE) data for Li4La2Cu after structural relaxation, as listed in Alexandria.

M_tot: 1.2 μB per cell
Formation energy from the elements: 0.2901 eV/atom
N(E_F): 17.0 states/eV per cell
Space-group type: I4/mmm (139)

abc: 4.685 4.685 16.422
angles: 90.00 90.00 90.00
Sites, in units of the cell vectors:
1 Li 0.000 0.000 0.143
2 Li 0.000 0.000 0.857
3 Li 0.000 0.500 0.000
4 Li 0.000 0.500 0.500
5 Li 0.500 0.000 0.000
6 Li 0.500 0.000 0.500
7 Li 0.500 0.500 0.357
8 Li 0.500 0.500 0.643
9 La 0.000 0.000 0.338
10 La 0.000 0.000 0.662
11 La 0.500 0.500 0.162
12 La 0.500 0.500 0.838
13 Cu 0.000 0.000 0.000
14 Cu 0.500 0.500 0.500